#one
First-principles (PBE) data for a relaxed structure of Ca2ScBr, as listed in Alexandria via LeMat-Bulk.

Values from the calculation:
Space-group type: Cmm2
Total moment (μB/cell): 0.000
DOS at the Fermi energy (states/eV/f.u.): 2.985

Cell: 3.6437 3.6437 10.4058 Å, 90.00 90.00 115.53°
With the nearest neighbours (Å) after each atom.
Fractional positions:
Ca1 0.0000 0.0000 0.9659  2 Br 3.08
Ca2 0.5000 0.5000 0.2688  2 Sc 3.34, 6 Ca 3.64-3.70
Br1 0.5000 0.5000 0.7358  2 Sc 2.90, 2 Ca 3.08
Sc1 0.0000 0.0000 0.5295  2 Br 2.90

#two
First-principles (PBE) data for a relaxed structure of Ca2ScBr, as listed in Alexandria via LeMat-Bulk.

Values from the calculation:
Space-group type: I-42d
Total moment (μB/cell): 3.979
DOS at the Fermi energy (states/eV/f.u.): 1.585

Cell: 8.8560 8.8560 7.1600 Å, 51.80 51.80 90.00°
With the nearest neighbours (Å) after each atom.
Fractional positions:
Ca1 0.8750 0.9341 0.7500  2 Br 2.92
Ca2 0.3750 0.3159 0.7500  2 Br 2.92
Br1 0.7500 0.2500 0.5000  4 Ca 2.92
Ca3 0.6841 0.1250 0.2500  2 Br 2.92
Br2 0.0000 0.0000 0.0000  4 Ca 2.92
Sc1 0.2500 0.7500 0.5000  2 Br 3.47, 8 Ca 3.63-3.81
Ca4 0.0659 0.6250 0.2500  2 Br 2.92
Sc2 0.5000 0.5000 0.0000  2 Br 3.47, 8 Ca 3.63-3.81

Compare the structures above. Which one is the most stable? #one is.